# CeNdTh2N4 PBE optimized geometry
# Magnetization (μB/cell): 0.10
# Raw formation energy (eV/f.u.): -12.20
data_CeNdTh2N4
_chemical_formula_sum 'Ce1 Nd1 Th2 N4'
_cell_length_a 6.292
_cell_length_b 3.645
_cell_length_c 6.321
_cell_angle_alpha 90.00
_cell_angle_beta 109.50
_cell_angle_gamma 90.00
_space_group_name_H-M_alt 'P 1 2/m 1'
_space_group_IT_number 10
_space_group_name_Hall '-P 2y'
loop_
_atom_site_label
_atom_site_fract_x
_atom_site_fract_y
_atom_site_fract_z
_atom_site_occupancy
Ce1 0.000 0.000 0.000 1
Nd1 0.000 0.500 0.500 1
Th1 0.500 0.000 0.500 1
Th2 0.500 0.500 0.000 1
N1 0.254 0.500 0.246 1
N2 0.260 0.000 0.759 1